[1]
Below is crystalline Ir6OsRu5 at its relaxed geometry, with properties calculated at the PBE-GGA level.

Computed properties:
ΔE to the lowest computed polymorph: 722 meV/atom
Space-group type: C2/m

Cell lengths 5.7491, 5.7923, 7.4939 Å; angles 67.27, 77.10, 54.72 degrees
With the nearest neighbours (Å) after each atom.
Atoms (fractional coordinates):
Ru (0.5000, 0.1668, 0.6663)  6 Ir 2.54-2.66, 2 Ru 2.65
Ir (0.2531, 0.9170, 0.6678)  5 Ru 2.54-2.66, 2 Ir 2.64-2.66, 1 Os 2.65
Os (0.0000, 0.0000, 0.0000)  6 Ir 2.47-2.65, 2 Ru 2.65
Ir (0.7601, 0.7586, 0.0000)  1 Os 2.47, 2 Ir 2.65-2.67, 5 Ru 2.66-2.68
Ru (0.5000, 0.5000, 0.0000)  6 Ir 2.65-2.66, 2 Os 2.65
Ru (0.5000, 0.8332, 0.3337)  6 Ir 2.54-2.66, 2 Ru 2.65
Ir (0.2531, 0.5848, 0.3322)  5 Ru 2.54-2.66, 2 Ir 2.64-2.66, 1 Os 2.65
Ir (0.7469, 0.0830, 0.3322)  5 Ru 2.54-2.66, 2 Ir 2.64-2.66, 1 Os 2.65
Ru (0.0000, 0.3317, 0.3365)  6 Ir 2.58-2.68, 2 Ru 2.65
Ir (0.7469, 0.4152, 0.6678)  5 Ru 2.54-2.66, 2 Ir 2.64-2.66, 1 Os 2.65
Ir (0.2399, 0.2414, 0.0000)  1 Os 2.47, 2 Ir 2.65-2.67, 5 Ru 2.66-2.68
Ru (0.0000, 0.6683, 0.6635)  6 Ir 2.58-2.68, 2 Ru 2.65


[2]
Below is crystalline IrOsRu at its relaxed geometry, with properties calculated at the PBE-GGA level.

Computed properties:
ΔE to the lowest computed polymorph: 614 meV/atom
Space-group type: F-43m

Cell lengths 4.1636, 4.1636, 4.1636 Å; angles 60.00, 60.00, 60.00 degrees
With the nearest neighbours (Å) after each atom.
Atoms (fractional coordinates):
Ir (0.5000, 0.5000, 0.5000)  4 Os 2.55
Os (0.7500, 0.7500, 0.7500)  4 Ru 2.55, 4 Ir 2.55
Ru (0.0000, 0.0000, 0.0000)  4 Os 2.55


[3]
Below is crystalline Ir2Os5Ru2 at its relaxed geometry, with properties calculated at the PBE-GGA level.

Computed properties:
Space-group type: C2/m

Cell lengths 3.8533, 4.7136, 8.1743 Å; angles 73.08, 76.37, 65.87 degrees
With the nearest neighbours (Å) after each atom.
Atoms (fractional coordinates):
Os (0.6657, 0.8896, 0.7791)  4 Ru 2.70-2.73, 5 Os 2.71-2.72, 3 Ir 2.73
Os (0.0000, 0.0000, 0.0000)  6 Os 2.69-2.72, 6 Ru 2.71-2.74
Os (0.0013, 0.6685, 0.3288)  5 Os 2.69-2.79, 2 Ru 2.70, 5 Ir 2.73-2.75
Ir (0.3325, 0.7787, 0.5563)  3 Ir 2.72-2.74, 1 Ru 2.73, 8 Os 2.73-2.75
Os (0.9987, 0.3315, 0.6712)  5 Os 2.69-2.79, 2 Ru 2.70, 5 Ir 2.73-2.75
Ru (0.6651, 0.5596, 0.1103)  9 Os 2.70-2.74, 1 Ir 2.73, 2 Ru 2.73
Os (0.3343, 0.1104, 0.2209)  4 Ru 2.70-2.73, 5 Os 2.71-2.72, 3 Ir 2.73
Ir (0.6675, 0.2213, 0.4437)  3 Ir 2.72-2.74, 1 Ru 2.73, 8 Os 2.73-2.75
Ru (0.3349, 0.4404, 0.8897)  9 Os 2.70-2.74, 1 Ir 2.73, 2 Ru 2.73


[4]
Below is crystalline Ir5OsRu2 at its relaxed geometry, with properties calculated at the PBE-GGA level.

Computed properties:
Space-group type: Cmcm

Cell lengths 4.0022, 8.9760, 8.7392 Å; angles 90.00, 90.00, 102.88 degrees
With the nearest neighbours (Å) after each atom.
Atoms (fractional coordinates):
Ir (0.0309, 0.0617, 0.1162)  2 Ir 2.30-2.34, 1 Os 2.48, 1 Ru 2.48
Ru (0.1237, 0.2474, 0.9015)  4 Ir 2.48-2.71, 1 Ru 2.65
Ir (0.0309, 0.0617, 0.3838)  2 Ir 2.30-2.34, 1 Os 2.48, 1 Ru 2.48
Ir (0.2905, 0.5810, 0.0779)  2 Ru 2.51, 4 Ir 2.69-2.80, 1 Os 2.80
Ru (0.8763, 0.7526, 0.0985)  4 Ir 2.48-2.71, 1 Ru 2.65
Ru (0.8763, 0.7526, 0.4015)  4 Ir 2.48-2.71, 1 Ru 2.65
Ir (0.2651, 0.5302, 0.7500)  2 Os 2.43, 4 Ir 2.69
Ru (0.1237, 0.2474, 0.5985)  4 Ir 2.48-2.71, 1 Ru 2.65
Ir (0.7349, 0.4698, 0.2500)  2 Os 2.43, 4 Ir 2.69
Os (0.1557, 0.3114, 0.2500)  4 Ir 2.43-2.48
Ir (0.7095, 0.4190, 0.9221)  2 Ru 2.51, 4 Ir 2.69-2.80, 1 Os 2.80
Os (0.8443, 0.6886, 0.7500)  4 Ir 2.43-2.48
Ir (0.9691, 0.9383, 0.8838)  2 Ir 2.30-2.34, 1 Os 2.48, 1 Ru 2.48
Ir (0.7095, 0.4190, 0.5779)  2 Ru 2.51, 4 Ir 2.69-2.80, 1 Os 2.80
Ir (0.9691, 0.9383, 0.6162)  2 Ir 2.30-2.34, 1 Os 2.48, 1 Ru 2.48
Ir (0.2905, 0.5810, 0.4221)  2 Ru 2.51, 4 Ir 2.69-2.80, 1 Os 2.80


Q: Which energy relative to the elements values were calculated for the entries above? A: 710.8 639.2 76.6 1057.8, in meV per atom.
Q: Which Fermi-level density of states values were calculated for the entries above? A: 1.437 1.414 0.896 1.329, in states/eV per atom.